# 1
# Dy2PuMg6 (PBE, optimized geometry)
# **Formation enthalpy at 0 K**: -0.02 eV per atom
# **D(E_F)**: 12.1 states/eV/f.u.
data_Dy2PuMg6
_chemical_formula_sum 'Dy2 Pu1 Mg6'
_space_group_name_H-M_alt 'P 6/m m m'
_space_group_IT_number 191
_space_group_name_Hall '-P 6 2'
_cell_length_a 9.1169
_cell_length_b 9.1169
_cell_length_c 3.1816
_cell_angle_alpha 90.00
_cell_angle_beta 90.00
_cell_angle_gamma 120.00
loop_
_atom_site_label
_atom_site_fract_x
_atom_site_fract_y
_atom_site_fract_z
Dy1 0.3333 0.6667 0.0000
Pu1 0.0000 0.0000 0.0000
Mg1 0.0000 0.3341 0.5000

=====

# 2
# YAl2Ag (PBE, optimized geometry)
# **Formation enthalpy at 0 K**: -0.11 eV per atom
# **D(E_F)**: 2.5 states/eV/f.u.
data_YAl2Ag
_chemical_formula_sum 'Y2 Al4 Ag2'
_space_group_name_H-M_alt 'I m m m'
_space_group_IT_number 71
_space_group_name_Hall '-I 2 2'
_cell_length_a 3.092
_cell_length_b 5.372
_cell_length_c 9.978
_cell_angle_alpha 90.00
_cell_angle_beta 90.00
_cell_angle_gamma 90.00
loop_
_atom_site_label
_atom_site_fract_x
_atom_site_fract_y
_atom_site_fract_z
Y1 0.000 0.000 0.000
Al1 0.000 0.500 0.227
Ag1 0.000 0.000 0.500

=====

# 3
# TbYEr2Tm2 (PBE, optimized geometry)
# **Formation enthalpy at 0 K**: 0.17 eV per atom
# **D(E_F)**: 9.4 states/eV/f.u.
data_TbYEr2Tm2
_chemical_formula_sum 'Tb2 Y2 Er4 Tm4'
_space_group_name_H-M_alt 'P n n m'
_space_group_IT_number 58
_space_group_name_Hall '-P 2 2n'
_cell_length_a 6.911
_cell_length_b 15.907
_cell_length_c 3.482
_cell_angle_alpha 90.00
_cell_angle_beta 90.00
_cell_angle_gamma 90.00
loop_
_atom_site_label
_atom_site_fract_x
_atom_site_fract_y
_atom_site_fract_z
Tb1 0.000 0.000 0.000
Y1 0.000 0.500 0.500
Er1 0.250 0.157 0.500
Tm1 0.249 0.844 0.500

=====

# 4
# Er4TlAu2 (PBE, optimized geometry)
# **Formation enthalpy at 0 K**: -0.42 eV per atom
# **D(E_F)**: 8.4 states/eV/f.u.
data_Er4TlAu2
_chemical_formula_sum 'Er12 Tl3 Au6'
_space_group_name_H-M_alt 'R -3 m'
_space_group_IT_number 166
_space_group_name_Hall '-R 3 2"'
_cell_length_a 4.8185
_cell_length_b 4.8185
_cell_length_c 29.3070
_cell_angle_alpha 90.00
_cell_angle_beta 90.00
_cell_angle_gamma 120.00
loop_
_atom_site_label
_atom_site_fract_x
_atom_site_fract_y
_atom_site_fract_z
Er1 0.0000 0.0000 0.1172
Er2 0.0000 0.0000 0.2978
Tl1 0.0000 0.0000 0.5000
Au1 0.0000 0.0000 0.3974

=====

- Which formula does entry 4 have?
  Er4TlAu2